VASP calculation (PBE) on a relaxed structure of PrTlZn.

extended XYZ file:
```
6
Lattice="4.708 0.000 0.000 2.354 4.077 0.000 2.354 1.359 8.729" Properties=species:S:1:pos:R:3 pbc="T T T"
Pr 4.708 2.718 6.132
Pr 4.708 2.718 2.597
Tl 7.062 4.077 7.969
Tl 2.354 1.359 0.759
Zn 2.354 1.359 4.254
Zn 7.062 4.077 4.475
```

Raw total energy = -3.027 eV/atom
Magnetic moment = 0.00 μB per atom
Space-group type = R-3m
Formation enthalpy at 0 K = -0.220 eV per atom
N(E_F) = 1.64 states/eV/f.u.